The following is a DFT calculation (GGA-PBE) of a relaxed CsTl2SnCl5 crystal.

Output
SG = No. 36
Uncorrected formation energy = -1.20 eV/atom
Theoretical density = 4.017 Mg/m³
V = 692 Å³ per cell

a = 4.412 Å, b = 9.553 Å, c = 16.885 Å
α = 90.00°, β = 90.00°, γ = 103.35°
Fractional positions:
Cs 0.572 0.144 0.923
Cs 0.428 0.856 0.423
Tl 0.839 0.679 0.753
Tl 0.035 0.070 0.652
Tl 0.161 0.321 0.253
Tl 0.965 0.930 0.152
Sn 0.728 0.457 0.543
Sn 0.272 0.543 0.043
Cl 0.417 0.835 0.029
Cl 0.759 0.517 0.932
Cl 0.457 0.913 0.766
Cl 0.220 0.439 0.659
Cl 0.887 0.774 0.567
Cl 0.583 0.165 0.529
Cl 0.241 0.483 0.432
Cl 0.543 0.087 0.266
Cl 0.780 0.561 0.159
Cl 0.113 0.226 0.067